(1)
Material: LaUC
Method: DFT, PBE
State: relaxed

a b c (Å): 6.5698 3.4591 3.4591
angles (deg): 120.00 90.00 90.00
Site moments in Bohr magnetons follow the coordinates.
Sites, in units of the cell vectors:
1 C 0.0249 0.0000 0.0000  -0.05
2 La 0.7610 0.6667 0.3333  0.02
3 U 0.2141 0.3333 0.6667  2.02

Summary:
Space-group type: P3m1, No. 156
Excess energy over the best structure of this formula in the dataset in meV/atom: 0.0
Energy relative to the elements in meV/atom: 116



(2)
Material: Rb2HN
Method: DFT, PBE
State: relaxed

a b c (Å): 5.1426 5.1426 5.1426
angles (deg): 60.00 60.00 60.00
Site moments in Bohr magnetons follow the coordinates.
Sites, in units of the cell vectors:
1 Rb 0.7500 0.7500 0.7500  0.01
2 H 0.0000 0.0000 0.0000  0.05
3 N 0.5000 0.5000 0.5000  1.18
4 Rb 0.2500 0.2500 0.2500  0.01

Summary:
Space-group type: Fm-3m, No. 225
Excess energy over the best structure of this formula in the dataset in meV/atom: 6.0



(3)
Material: Cr3C
Method: DFT, PBE
State: relaxed

a b c (Å): 2.5455 2.5455 6.7804
angles (deg): 90.00 90.00 112.08
Site moments in Bohr magnetons follow the coordinates.
Sites, in units of the cell vectors:
1 Cr 0.5000 0.5000 0.2001  0.12
2 C 0.0000 0.0000 0.0000  -0.01
3 Cr 0.5000 0.5000 0.7999  0.12
4 Cr 0.0000 0.0000 0.5000  -0.01

Summary:
Space-group type: Cmmm, No. 65
Excess energy over the best structure of this formula in the dataset in meV/atom: 396.1
Energy relative to the elements in meV/atom: 303



(4)
Material: Pm6SnAu5
Method: DFT, PBE
State: relaxed

a b c (Å): 5.2276 7.4881 8.3082
angles (deg): 90.00 108.29 90.00
Sites, in units of the cell vectors:
1 Au 0.0000 0.5000 0.0000
2 Au 0.3409 0.0000 0.6804
3 Au 0.6591 0.0000 0.3196
4 Pm 0.8300 0.2521 0.6594
5 Sn 0.0000 0.0000 0.0000
6 Pm 0.1700 0.2521 0.3406
7 Au 0.6668 0.5000 0.3347
8 Au 0.3332 0.5000 0.6653
9 Pm 0.5000 0.7402 0.0000
10 Pm 0.8300 0.7479 0.6594
11 Pm 0.5000 0.2598 0.0000
12 Pm 0.1700 0.7479 0.3406

Summary:
Space-group type: P2/m, No. 10
Energy relative to the elements in meV/atom: -759



(5)
Material: InAsO2
Method: DFT, PBE
State: relaxed

a b c (Å): 5.4364 5.4364 5.9966
angles (deg): 63.05 63.05 90.00
Sites, in units of the cell vectors:
1 O 0.8750 0.8925 0.7500
2 O 0.1075 0.6250 0.2500
3 In 0.7500 0.2500 0.5000
4 O 0.6425 0.1250 0.2500
5 As 0.5000 0.5000 0.0000
6 As 0.2500 0.7500 0.5000
7 O 0.3750 0.3575 0.7500
8 In 0.0000 0.0000 0.0000

Summary:
Space-group type: I-42d, No. 122
Uncorrected formation energy in meV/atom: -520
Excess energy over the best structure of this formula in the dataset in meV/atom: 515.9



(6)
Material: Hg6PIBr2
Method: DFT, PBE
State: relaxed

a b c (Å): 7.8552 8.0761 7.6555
angles (deg): 121.83 117.09 90.00
Sites, in units of the cell vectors:
1 Hg 0.3854 0.6882 0.3763
2 Br 0.1947 0.2203 0.4405
3 Hg 0.1542 0.1918 0.8615
4 P 0.0000 0.5000 0.0000
5 Br 0.8053 0.7797 0.5595
6 Hg 0.6146 0.3118 0.6237
7 Hg 0.1542 0.6697 0.8615
8 Hg 0.8458 0.8082 0.1385
9 I 0.5000 0.0000 0.0000
10 Hg 0.8458 0.3303 0.1385

Summary:
Space-group type: C2/m, No. 12
Uncorrected formation energy in meV/atom: -39



| no. | VASP energy (eV for the cell shown) |
| --- | --- |
| 1 | -25.09 |
| 2 | -10.77 |
| 3 | -36.88 |
| 4 | -58.00 |
| 5 | -38.77 |
| 6 | -12.50 |